Here is a relaxed RbCrFe2I8 crystal from the Alexandria database. Energies are from GGA-PBE.

abc: 7.138 7.138 10.531
angles: 84.64 84.64 68.82
Each line ends with the local moment (μB).
Fractional positions:
Rb (0.000, 0.000, 0.500)  0.00
Cr (0.000, 0.000, 0.000)  3.27
Fe (0.622, 0.622, 0.204)  3.29
Fe (0.378, 0.378, 0.796)  3.29
I (0.774, 0.264, 0.807)  0.04
I (0.767, 0.767, 0.997)  0.05
I (0.687, 0.687, 0.427)  0.12
I (0.313, 0.313, 0.573)  0.12
I (0.233, 0.233, 0.003)  0.05
I (0.264, 0.774, 0.807)  0.04
I (0.736, 0.226, 0.193)  0.04
I (0.226, 0.736, 0.193)  0.04

The energy relative to the elements, uncorrected is -377 meV/atom. For the volume, the calculation gives 497.0 Å³ per cell.



Here is a relaxed Rb2CrFeI6 crystal from the Alexandria database. Energies are from GGA-PBE.

abc: 8.099 8.099 8.101
angles: 60.01 60.01 90.00
Each line ends with the local moment (μB).
Fractional positions:
I (0.250, 0.250, 0.500)  -0.06
I (0.750, 0.750, 0.500)  -0.06
I (0.249, 0.249, 0.000)  -0.06
I (0.751, 0.751, 0.000)  -0.06
I (0.751, 0.249, 0.000)  -0.07
I (0.249, 0.751, 0.000)  -0.07
Cr (0.500, 0.500, 0.000)  3.66
Fe (0.000, 0.000, 0.000)  -3.37
Rb (0.750, 0.250, 0.500)  0.00
Rb (0.250, 0.750, 0.500)  0.00

The energy relative to the elements, uncorrected is -638 meV/atom. For the volume, the calculation gives 375.9 Å³ per cell.



Here is a relaxed CrFeSI2 crystal from the Alexandria database. Energies are from GGA-PBE.

abc: 5.975 4.400 5.975
angles: 90.00 90.00 90.00
Each line ends with the local moment (μB).
Fractional positions:
I (0.000, 0.000, 0.500)  0.07
I (0.500, 0.000, 0.000)  0.04
Cr (0.000, 0.500, 0.000)  3.77
S (0.000, 0.000, 0.000)  -0.19
Fe (0.500, 0.500, 0.500)  3.28

The energy relative to the elements, uncorrected is 915 meV/atom. For the volume, the calculation gives 157.1 Å³ per cell.



Here is a relaxed CrFeSb2I crystal from the Alexandria database. Energies are from GGA-PBE.

abc: 5.026 5.026 5.656
angles: 90.00 90.00 90.00
Each line ends with the local moment (μB).
Fractional positions:
I (0.000, 0.000, 0.500)  -0.03
Sb (0.000, 0.500, 0.000)  -0.19
Sb (0.500, 0.000, 0.000)  -0.19
Fe (0.500, 0.500, 0.500)  3.25
Cr (0.000, 0.000, 0.000)  2.45

The energy relative to the elements, uncorrected is 931 meV/atom. The polymorph energy (0 for the lowest one) comes out at 0.00 eV per formula unit. For the volume, the calculation gives 142.8 Å³ per cell.



Here is a relaxed CrFe2SiI crystal from the Alexandria database. Energies are from GGA-PBE.

abc: 4.270 5.710 4.270
angles: 90.00 90.00 90.00
Each line ends with the local moment (μB).
Fractional positions:
I (0.000, 0.500, 0.000)  0.01
Cr (0.500, 0.500, 0.500)  3.99
Si (0.000, 0.000, 0.000)  -0.03
Fe (0.000, 0.000, 0.500)  0.34
Fe (0.500, 0.000, 0.000)  0.34

The energy relative to the elements, uncorrected is 1329 meV/atom. For the volume, the calculation gives 104.1 Å³ per cell.



Here is a relaxed CrFeTeI2 crystal from the Alexandria database. Energies are from GGA-PBE.

abc: 5.509 5.509 4.778
angles: 90.00 90.00 90.00
Each line ends with the local moment (μB).
Fractional positions:
I (0.000, 0.500, 0.000)  0.03
I (0.500, 0.000, 0.000)  0.03
Cr (0.500, 0.500, 0.500)  -4.30
Te (0.000, 0.000, 0.500)  0.06
Fe (0.000, 0.000, 0.000)  -0.10

The energy relative to the elements, uncorrected is 698 meV/atom. The polymorph energy (0 for the lowest one) comes out at 0.00 eV per formula unit. For the volume, the calculation gives 145.0 Å³ per cell.



Here is a relaxed Cr2InFe crystal from the Alexandria database. Energies are from GGA-PBE.

abc: 4.610 4.610 4.610
angles: 128.32 128.32 76.11
Each line ends with the local moment (μB).
Fractional positions:
Cr (0.000, 0.000, 0.000)  2.66
Cr (0.250, 0.750, 0.500)  -2.43
Fe (0.500, 0.500, 0.000)  2.11
In (0.750, 0.250, 0.500)  -0.03

Its energy is -7.257 eV per atom. For the volume, the calculation gives 58.6 Å³ per cell.



Here is a relaxed Cr4InFe crystal from the Alexandria database. Energies are from GGA-PBE.

abc: 4.827 4.827 4.827
angles: 60.00 60.00 60.00
Each line ends with the local moment (μB).
Fractional positions:
Cr (0.873, 0.376, 0.376)  0.03
Cr (0.376, 0.376, 0.873)  0.03
Cr (0.376, 0.873, 0.376)  0.03
Cr (0.376, 0.376, 0.376)  0.03
In (0.000, 0.000, 0.000)  -0.01
Fe (0.750, 0.750, 0.750)  2.31

Its energy is -7.949 eV per atom. For the volume, the calculation gives 79.5 Å³ per cell.